This record from Alexandria describes crystalline SrCoF2 at its relaxed geometry. The functional is PBE+U.

Results
crystal system = trigonal
M_tot = 2.5 μB/f.u.
E = -4.261 eV/atom

abc: 3.7772 3.7772 18.4904
angles: 90.00 90.00 120.00
Space group R-3m (No. 166, hexagonal axes)
One atom of each set of equivalent atoms:
Sr (0.0000, 0.0000, 0.0000) x3
Co (0.0000, 0.0000, 0.5000) x3
F (0.0000, 0.0000, 0.1263) x6